Entry from the Alexandria database: crystalline CdCu2OsSe at its relaxed geometry (PBE).

Lattice parameters (Å, degrees): 4.401 4.401 5.472 90.00 90.00 90.00
Space group P4/mmm (No. 123)
Asymmetric unit:
Cd (0.000, 0.000, 0.000)
Cu (0.000, 0.500, 0.500)
Os (0.500, 0.500, 0.000)
Se (0.000, 0.000, 0.500)

Final energy (eV per atom): -3.468
Raw formation energy (meV/atom): 1296.0
Theoretical density (Mg/m³): 8.0

---

Entry from the Alexandria database: crystalline TeAu2 at its relaxed geometry (PBE).

Lattice parameters (Å, degrees): 12.228 3.075 7.925 90.00 90.14 90.00
Space group C2/m (No. 12)
Asymmetric unit:
Te (0.155, 0.000, 0.250)
Au (0.000, 0.000, 0.000)
Au (0.000, 0.000, 0.500)
Au (0.120, 0.500, 0.750)

Final energy (eV per atom): -3.180
Raw formation energy (meV/atom): 52.3
Theoretical density (Mg/m³): 11.6

---

Entry from the Alexandria database: crystalline TaV2Sn2 at its relaxed geometry (PBE).

Lattice parameters (Å, degrees): 4.252 4.252 10.765 90.00 90.00 90.00
Space group I4/mmm (No. 139)
Asymmetric unit:
Ta (0.000, 0.000, 0.000)
V (0.000, 0.000, 0.413)
Sn (0.000, 0.500, 0.250)

E_form (meV per atom): 683
Final energy (eV per atom): -6.936
Theoretical density (Mg/m³): 8.9
Polymorph energy (0 for the lowest one) (eV/f.u.): 1.80

---

Entry from the Alexandria database: crystalline SmEr2Ag at its relaxed geometry (PBE).

Lattice parameters (Å, degrees): 4.769 4.769 4.816 90.00 90.00 90.00
Space group P4/mmm (No. 123)
Asymmetric unit:
Sm (0.000, 0.000, 0.000)
Er (0.000, 0.500, 0.500)
Ag (0.500, 0.500, 0.000)

E_form (meV per atom): 17
Final energy (eV per atom): -4.157
Theoretical density (Mg/m³): 9.0
Polymorph energy (0 for the lowest one) (eV/f.u.): 0.61

---

Entry from the Alexandria database: crystalline Be2RuPb at its relaxed geometry (PBE).

Lattice parameters (Å, degrees): 4.080 4.080 16.226 90.00 90.00 90.00
Space group I4_1/amd (No. 141, origin choice 2)
Asymmetric unit:
Be (0.000, 0.000, 0.000)
Ru (0.000, 0.250, 0.875)
Pb (0.000, 0.250, 0.375)

E_form (meV per atom): 528
Final energy (eV per atom): -4.582
Theoretical density (Mg/m³): 8.0
Polymorph energy (0 for the lowest one) (eV/f.u.): 1.75

---

Entry from the Alexandria database: crystalline SrCaLaSm at its relaxed geometry (PBE).

Lattice parameters (Å, degrees): 8.649 8.649 8.649 90.00 90.00 90.00
Space group F-43m (No. 216)
Asymmetric unit:
Sr (0.000, 0.000, 0.000)
Ca (0.250, 0.250, 0.250)
La (0.000, 0.000, 0.500)
Sm (0.250, 0.250, 0.750)

E_form (meV per atom): 159
Final energy (eV per atom): -3.174
Theoretical density (Mg/m³): 4.3